K2PmTmO4, optimized geometry, DFT PBE; electronic total energy = -6.627 eV/atom; raw formation energy = -2.7210 eV per atom
1.0
-0.056 3.194 -1.472
-5.559 0.963 2.302
4.414 2.112 4.416
K Pm Tm O
2 1 1 4
direct
0.500 0.000 0.500
0.000 0.500 0.500
0.500 0.500 0.000
0.000 0.000 0.000
0.500 0.218 0.185
0.500 0.782 0.815
0.000 0.260 0.813
0.000 0.740 0.187

K3PmTm2O6, optimized geometry, DFT PBE; electronic total energy = -6.650 eV/atom; raw formation energy = -2.7553 eV per atom
1.0
6.037 -0.001 0.000
-3.018 5.228 0.000
-1.007 -1.743 6.262
K Pm Tm O
3 1 2 6
direct
0.168 0.832 0.500
0.832 0.168 0.500
0.500 0.500 0.500
0.000 0.000 0.000
0.333 0.667 0.000
0.667 0.333 0.000
0.938 0.593 0.815
0.716 0.716 0.185
0.062 0.407 0.185
0.593 0.938 0.815
0.284 0.284 0.815
0.407 0.062 0.185

K3Pm2UO6, optimized geometry, DFT PBE; electronic total energy = -6.976 eV/atom; raw formation energy = -2.4903 eV per atom
1.0
6.235 0.000 -0.001
-3.116 5.400 -0.001
-1.042 -1.804 6.317
K Pm U O
3 2 1 6
direct
0.168 0.832 0.500
0.832 0.168 0.500
0.500 0.500 0.500
0.333 0.667 0.000
0.667 0.333 0.000
0.000 0.000 0.000
0.938 0.620 0.814
0.744 0.744 0.186
0.062 0.380 0.186
0.620 0.938 0.814
0.256 0.256 0.814
0.380 0.062 0.186

K3Pm3UO8, optimized geometry, DFT PBE; electronic total energy = -7.315 eV/atom; raw formation energy = -2.7490 eV per atom
1.0
7.168 0.000 0.000
-3.584 6.207 -0.022
0.000 -4.116 6.389
K Pm U O
3 3 1 8
direct
0.000 0.000 0.000
0.000 0.500 0.000
0.500 0.500 0.000
0.500 0.000 0.500
0.500 0.500 0.500
0.000 0.500 0.500
0.000 0.000 0.500
0.271 0.542 0.313
0.729 0.458 0.687
0.785 0.569 0.323
0.215 0.431 0.677
0.785 0.038 0.323
0.215 0.962 0.677
0.254 0.038 0.323
0.746 0.962 0.677

Please write out number 1 again, unchanged.
K2PmTmO4, optimized geometry, DFT PBE; electronic total energy = -6.627 eV/atom; raw formation energy = -2.7210 eV per atom
1.0
-0.056 3.194 -1.472
-5.559 0.963 2.302
4.414 2.112 4.416
K Pm Tm O
2 1 1 4
direct
0.500 0.000 0.500
0.000 0.500 0.500
0.500 0.500 0.000
0.000 0.000 0.000
0.500 0.218 0.185
0.500 0.782 0.815
0.000 0.260 0.813
0.000 0.740 0.187

> electronic total energy of number 4 (K3Pm3UO8)?

-7.315 eV/atom

> Which value of raw formation energy does entry 4 give?

-2.7490 eV per atom

> Which of these has the highest electronic total energy?

K2PmTmO4